NaBiP2O: single point on PBEsol structure, meta-GGA SCAN.

abc: 4.306 5.338 5.338
angles: 90.00 90.00 90.00
Sites, in units of the cell vectors:
O: 0.500 0.000 0.000
Na: 0.500 0.500 0.500
Bi: 0.000 0.000 0.000
P: 0.000 0.000 0.500
P: 0.000 0.500 0.000

formation energy without anion corrections = 0.4363 eV/atom
space group = P4/mmm

Na3BiP4O14: single point on PBEsol structure, meta-GGA SCAN.

abc: 7.573 9.585 9.173
angles: 85.10 78.02 69.46
Sites, in units of the cell vectors:
P: 0.116 0.644 0.520
O: 0.108 0.803 0.576
P: 0.745 0.109 0.448
O: 0.288 0.930 0.382
O: 0.617 0.667 0.878
O: 0.773 0.551 0.098
O: 0.231 0.945 0.954
Na: 0.498 0.445 0.302
O: 0.981 0.784 0.092
O: 0.019 0.216 0.908
O: 0.872 0.332 0.652
P: 0.884 0.356 0.480
O: 0.703 0.475 0.448
O: 0.297 0.525 0.552
O: 0.069 0.372 0.398
Na: 0.674 0.834 0.692
O: 0.126 0.122 0.159
O: 0.140 0.038 0.639
P: 0.821 0.890 0.013
O: 0.424 0.691 0.150
Na: 0.043 0.528 0.186
O: 0.892 0.197 0.424
P: 0.383 0.322 0.960
Bi: 0.145 0.874 0.213
Na: 0.502 0.555 0.698
O: 0.874 0.878 0.841
O: 0.576 0.309 0.850
O: 0.383 0.333 0.122
O: 0.360 0.162 0.932
O: 0.640 0.838 0.068
O: 0.712 0.070 0.618
P: 0.617 0.678 0.040
Na: 0.957 0.472 0.814
Bi: 0.855 0.126 0.787
O: 0.438 0.803 0.602
O: 0.227 0.449 0.902
O: 0.128 0.668 0.348
O: 0.931 0.628 0.602
Na: 0.326 0.166 0.308
P: 0.179 0.110 0.987
O: 0.769 0.055 0.046
P: 0.255 0.891 0.552
O: 0.562 0.197 0.398
O: 0.860 0.962 0.361

formation energy without anion corrections = -2.1260 eV/atom
space group = P-1

NaBiPb2O: single point on PBEsol structure, meta-GGA SCAN.

abc: 4.264 6.124 6.124
angles: 90.00 90.00 90.00
Sites, in units of the cell vectors:
Na: 0.500 0.500 0.500
Pb: 0.000 0.000 0.500
O: 0.500 0.000 0.000
Bi: 0.000 0.000 0.000
Pb: 0.000 0.500 0.000

formation energy without anion corrections = 0.0914 eV/atom
space group = P4/mmm

NaBi2Sb3O11: single point on PBEsol structure, meta-GGA SCAN.

abc: 9.523 9.523 9.523
angles: 90.00 90.00 90.00
Sites, in units of the cell vectors:
Sb: 0.500 0.839 0.000
O: 0.000 0.337 0.289
Na: 0.750 0.250 0.250
O: 0.211 0.500 0.163
O: 0.000 0.663 0.711
O: 0.638 0.000 0.000
Sb: 0.500 0.000 0.339
Bi: 0.627 0.627 0.373
O: 0.500 0.500 0.862
O: 0.789 0.500 0.837
O: 0.862 0.500 0.500
O: 0.837 0.789 0.500
Bi: 0.373 0.627 0.627
O: 0.500 0.138 0.500
O: 0.000 0.000 0.638
Sb: 0.339 0.500 0.000
Sb: 0.000 0.339 0.500
O: 0.000 0.663 0.289
O: 0.500 0.837 0.211
Bi: 0.373 0.373 0.373
O: 0.000 0.638 0.000
O: 0.138 0.500 0.500
O: 0.897 0.103 0.103
Na: 0.250 0.750 0.250
O: 0.711 0.000 0.663
O: 0.000 0.337 0.711
O: 0.103 0.897 0.103
O: 0.337 0.711 0.000
O: 0.289 0.000 0.663
Sb: 0.500 0.000 0.661
O: 0.603 0.397 0.397
O: 0.103 0.103 0.897
O: 0.163 0.789 0.500
Sb: 0.000 0.661 0.500
O: 0.500 0.500 0.138
Na: 0.750 0.750 0.750
Bi: 0.127 0.873 0.873
Sb: 0.661 0.500 0.000
Sb: 0.839 0.000 0.500
Bi: 0.873 0.873 0.127
Bi: 0.127 0.127 0.127
O: 0.337 0.289 0.000
O: 0.500 0.862 0.500
O: 0.362 0.000 0.000
Sb: 0.161 0.000 0.500
O: 0.837 0.211 0.500
O: 0.000 0.362 0.000
O: 0.663 0.711 0.000
O: 0.163 0.211 0.500
O: 0.397 0.603 0.397
O: 0.789 0.500 0.163
O: 0.211 0.500 0.837
O: 0.897 0.897 0.897
O: 0.289 0.000 0.337
O: 0.663 0.289 0.000
Na: 0.250 0.250 0.750
Sb: 0.500 0.161 0.000
O: 0.000 0.000 0.362
O: 0.500 0.837 0.789
Bi: 0.627 0.373 0.627
O: 0.500 0.163 0.211
O: 0.603 0.603 0.603
O: 0.500 0.163 0.789
Bi: 0.873 0.127 0.873
Sb: 0.000 0.500 0.839
O: 0.711 0.000 0.337
O: 0.397 0.397 0.603
Sb: 0.000 0.500 0.161

formation energy without anion corrections = -1.5512 eV/atom
space group = Pn-3

NaTa4Bi5O18: single point on PBEsol structure, meta-GGA SCAN.

abc: 5.450 5.493 12.788
angles: 89.98 77.70 89.92
Sites, in units of the cell vectors:
O: 0.604 0.275 0.870
O: 0.830 0.566 0.687
Ta: 0.671 0.544 0.167
Bi: 0.917 0.971 0.602
O: 0.474 0.275 0.131
O: 0.757 0.244 0.498
O: 0.138 0.355 0.821
O: 0.863 0.861 0.171
O: 0.174 0.080 0.000
Bi: 0.071 0.473 0.399
Ta: 0.335 0.051 0.834
Bi: 0.519 0.971 0.398
O: 0.535 0.783 0.874
O: 0.255 0.244 0.502
Ta: 0.837 0.544 0.833
O: 0.034 0.861 0.829
O: 0.959 0.355 0.179
O: 0.408 0.783 0.126
O: 0.237 0.743 0.503
Ta: 0.170 0.051 0.166
O: 0.479 0.051 0.687
O: 0.166 0.051 0.313
Bi: 0.470 0.473 0.601
O: 0.517 0.567 0.313
O: 0.823 0.585 0.000
Bi: 0.758 0.996 0.000
Na: 0.260 0.522 0.000
O: 0.740 0.743 0.497

formation energy without anion corrections = -2.2242 eV/atom
space group = Cm

NaBiW2O8: single point on PBEsol structure, meta-GGA SCAN.

abc: 5.269 5.269 6.775
angles: 112.89 112.89 90.00
Sites, in units of the cell vectors:
O: 0.174 0.596 0.671
W: 0.250 0.750 0.500
Bi: 0.750 0.250 0.500
O: 0.404 0.503 0.329
Na: 0.500 0.500 0.000
O: 0.065 0.149 0.822
O: 0.757 0.673 0.822
O: 0.851 0.243 0.178
O: 0.327 0.935 0.178
O: 0.497 0.075 0.671
W: 0.000 0.000 0.000
O: 0.925 0.826 0.329

formation energy without anion corrections = -2.0910 eV/atom
space group = I-4

NaBi2P2: single point on PBEsol structure, meta-GGA SCAN.

abc: 5.286 5.286 6.294
angles: 114.83 114.83 90.00
Sites, in units of the cell vectors:
Bi: 0.340 0.340 0.681
Na: 0.000 0.000 0.000
Bi: 0.660 0.660 0.319
P: 0.250 0.750 0.500
P: 0.750 0.250 0.500

E_form = 0.11 eV per atom
space group = I4/mmm

NaBi3P: single point on PBEsol structure, meta-GGA SCAN.

abc: 5.327 5.327 5.327
angles: 90.00 90.00 90.00
Sites, in units of the cell vectors:
P: 0.500 0.500 0.500
Na: 0.000 0.000 0.000
Bi: 0.000 0.500 0.000
Bi: 0.000 0.000 0.500
Bi: 0.500 0.000 0.000

E_form = 1.15 eV per atom
space group = Pm-3m

NaBi3Pb: single point on PBEsol structure, meta-GGA SCAN.

abc: 5.910 5.910 5.910
angles: 90.00 90.00 90.00
Sites, in units of the cell vectors:
Pb: 0.000 0.000 0.000
Na: 0.500 0.500 0.500
Bi: 0.000 0.000 0.500
Bi: 0.000 0.500 0.000
Bi: 0.500 0.000 0.000

E_form = 0.56 eV per atom
space group = Pm-3m

NaBi2Pd2: single point on PBEsol structure, meta-GGA SCAN.

abc: 4.680 4.680 6.652
angles: 110.60 110.60 90.00
Sites, in units of the cell vectors:
Pd: 0.750 0.250 0.500
Pd: 0.250 0.750 0.500
Na: 0.000 0.000 0.000
Bi: 0.366 0.366 0.732
Bi: 0.634 0.634 0.268

E_form = -0.27 eV per atom
relative energy among the computed polymorphs = 0 meV per atom
space group = I4/mmm

NaBi2Pd2: single point on PBEsol structure, meta-GGA SCAN.

abc: 3.274 8.213 8.213
angles: 90.00 90.00 90.00
Sites, in units of the cell vectors:
Pd: 0.500 0.138 0.638
Pd: 0.500 0.362 0.138
Bi: 0.000 0.153 0.347
Bi: 0.000 0.653 0.153
Na: 0.000 0.500 0.500
Pd: 0.500 0.862 0.362
Bi: 0.000 0.347 0.847
Pd: 0.500 0.638 0.862
Bi: 0.000 0.847 0.653
Na: 0.000 0.000 0.000

E_form = -0.23 eV per atom
relative energy among the computed polymorphs = 38 meV per atom
space group = P4/mbm

NaBi2Pd: single point on PBEsol structure, meta-GGA SCAN.

abc: 5.041 5.041 5.041
angles: 60.00 60.00 60.00
Sites, in units of the cell vectors:
Na: 0.000 0.000 0.000
Bi: 0.250 0.250 0.250
Bi: 0.750 0.750 0.750
Pd: 0.500 0.500 0.500

E_form = -0.21 eV per atom
space group = Fm-3m

NaBi2Pt2: single point on PBEsol structure, meta-GGA SCAN.

abc: 3.601 7.786 7.786
angles: 90.00 90.00 90.00
Sites, in units of the cell vectors:
Bi: 0.500 0.666 0.834
Pt: 0.000 0.130 0.370
Na: 0.000 0.000 0.000
Pt: 0.000 0.630 0.130
Pt: 0.000 0.870 0.630
Bi: 0.500 0.834 0.334
Na: 0.000 0.500 0.500
Bi: 0.500 0.166 0.666
Bi: 0.500 0.334 0.166
Pt: 0.000 0.370 0.870

E_form = -0.20 eV per atom
relative energy among the computed polymorphs = 0 meV per atom
space group = P4/mbm

NaBi2Pt2: single point on PBEsol structure, meta-GGA SCAN.

abc: 4.816 4.816 6.580
angles: 111.47 111.47 90.00
Sites, in units of the cell vectors:
Pt: 0.750 0.250 0.500
Na: 0.000 0.000 0.000
Bi: 0.640 0.640 0.280
Pt: 0.250 0.750 0.500
Bi: 0.360 0.360 0.720

E_form = -0.17 eV per atom
relative energy among the computed polymorphs = 21 meV per atom
space group = I4/mmm

Na2Bi2Pt: single point on PBEsol structure, meta-GGA SCAN.

abc: 5.175 7.177 7.177
angles: 90.00 90.00 90.00
Sites, in units of the cell vectors:
Bi: 0.000 0.849 0.651
Na: 0.500 0.831 0.331
Bi: 0.000 0.349 0.849
Bi: 0.000 0.651 0.151
Na: 0.500 0.669 0.831
Pt: 0.000 0.500 0.500
Na: 0.500 0.169 0.669
Pt: 0.000 0.000 0.000
Bi: 0.000 0.151 0.349
Na: 0.500 0.331 0.169

E_form = -0.34 eV per atom
space group = P4/mbm

NaReBi2Se: single point on PBEsol structure, meta-GGA SCAN.

abc: 4.511 5.675 5.675
angles: 90.00 90.00 90.00
Sites, in units of the cell vectors:
Bi: 0.000 0.000 0.500
Re: 0.500 0.000 0.000
Se: 0.000 0.000 0.000
Na: 0.500 0.500 0.500
Bi: 0.000 0.500 0.000

formation energy without anion corrections = 0.9717 eV/atom
space group = P4/mmm

NaTlReBi2: single point on PBEsol structure, meta-GGA SCAN.

abc: 5.188 5.789 5.789
angles: 90.00 90.00 90.00
Sites, in units of the cell vectors:
Tl: 0.000 0.000 0.000
Bi: 0.000 0.000 0.500
Re: 0.500 0.000 0.000
Bi: 0.000 0.500 0.000
Na: 0.500 0.500 0.500

E_form = 1.42 eV per atom
space group = P4/mmm

NaBi2Rh2: single point on PBEsol structure, meta-GGA SCAN.

abc: 4.149 4.149 7.417
angles: 106.24 106.24 90.00
Sites, in units of the cell vectors:
Rh: 0.250 0.750 0.500
Bi: 0.372 0.372 0.743
Na: 0.000 0.000 0.000
Rh: 0.750 0.250 0.500
Bi: 0.628 0.628 0.257

E_form = -0.21 eV per atom
space group = I4/mmm

Na2Bi2Rh: single point on PBEsol structure, meta-GGA SCAN.

abc: 5.235 7.007 7.007
angles: 90.00 90.00 90.00
Sites, in units of the cell vectors:
Na: 0.500 0.171 0.671
Na: 0.500 0.329 0.171
Rh: 0.000 0.500 0.500
Bi: 0.000 0.652 0.152
Na: 0.500 0.829 0.329
Na: 0.500 0.671 0.829
Rh: 0.000 0.000 0.000
Bi: 0.000 0.348 0.848
Bi: 0.000 0.848 0.652
Bi: 0.000 0.152 0.348

E_form = -0.27 eV per atom
space group = P4/mbm

NaBi2SbRh: single point on PBEsol structure, meta-GGA SCAN.

abc: 4.832 5.842 5.842
angles: 90.00 90.00 90.00
Sites, in units of the cell vectors:
Na: 0.500 0.500 0.500
Bi: 0.000 0.500 0.000
Sb: 0.000 0.000 0.000
Bi: 0.000 0.000 0.500
Rh: 0.500 0.000 0.000

formation energy without anion corrections = 0.4957 eV/atom
space group = P4/mmm

Values for total magnetization, μB/f.u., ordered as above
2.57, 0.39, 0.00, 0.00, 0.00, 0.00, 0.00, 0.00, 0.00, 0.00, 0.00, 0.00, 0.00, 0.00, 0.00, 1.02, 3.26, 0.00, 0.00, 0.00
Values for theoretical density, kg/m³, ordered as above
4194, 3408, 6878, 7554, 9233, 7691, 5902, 7479, 6896, 8592, 9832, 10034, 12643, 10570, 8211, 8070, 7941, 9160, 7324, 6703